1.
# CaCoS2Cl, relaxed, DFT PBE
# Energy relative to the lowest polymorph listed for this composition, meV per atom: 1042
# Space-group type: P4/mmm (123)
# Calculated total energy, eV per atom: -3.579
# Uncorrected formation energy, eV/f.u.: 1.3
data_CaCoS2Cl
_cell_length_a 5.278
_cell_length_b 5.278
_cell_length_c 5.095
_cell_angle_alpha 90.00
_cell_angle_beta 90.00
_cell_angle_gamma 90.00
_symmetry_space_group_name_H-M 'P 1'
_symmetry_Int_Tables_number 1
_symmetry_space_group_name_Hall 'P 1'
loop_
_atom_site_label
_atom_site_fract_x
_atom_site_fract_y
_atom_site_fract_z
S1 0.000 0.500 0.000
S2 0.500 0.000 0.000
Co1 0.500 0.500 0.500
Cl1 0.000 0.000 0.500
Ca1 0.000 0.000 0.000

---

2.
# Tm4Bi2AsPb, relaxed, DFT PBE
# Space-group type: P2/m (10)
# Calculated total energy, eV per atom: -5.055
# E_form, eV per atom: -0.804
data_Tm4Bi2AsPb
_cell_length_a 4.279
_cell_length_b 7.661
_cell_length_c 7.416
_cell_angle_alpha 108.84
_cell_angle_beta 90.00
_cell_angle_gamma 90.00
_symmetry_space_group_name_H-M 'P 1'
_symmetry_Int_Tables_number 1
_symmetry_space_group_name_Hall 'P 1'
loop_
_atom_site_label
_atom_site_fract_x
_atom_site_fract_y
_atom_site_fract_z
Tm1 0.500 0.261 0.238
Pb1 0.000 0.000 0.000
As1 0.500 0.500 0.000
Bi1 0.500 0.000 0.500
Bi2 0.000 0.500 0.500
Tm2 0.500 0.739 0.762
Tm3 0.000 0.268 0.770
Tm4 0.000 0.732 0.230

---

3.
# Na4SmSc3Te8, relaxed, DFT PBE
# Space-group type: R-3m (166)
# Calculated total energy, eV per atom: -4.595
# Uncorrected formation energy, eV/f.u.: -19.4
data_Na4SmSc3Te8
_cell_length_a 8.621
_cell_length_b 9.038
_cell_length_c 8.621
_cell_angle_alpha 118.51
_cell_angle_beta 120.00
_cell_angle_gamma 90.00
_symmetry_space_group_name_H-M 'P 1'
_symmetry_Int_Tables_number 1
_symmetry_space_group_name_Hall 'P 1'
loop_
_atom_site_label
_atom_site_fract_x
_atom_site_fract_y
_atom_site_fract_z
Sc1 0.500 0.500 0.500
Na1 0.500 0.000 0.500
Te1 0.751 0.274 0.023
Na2 0.000 0.000 0.000
Te2 0.261 0.282 0.521
Na3 0.500 0.000 0.000
Te3 0.249 0.726 0.498
Te4 0.751 0.274 0.502
Te5 0.272 0.274 0.023
Na4 0.000 0.000 0.500
Te6 0.249 0.726 0.977
Sc2 0.000 0.500 0.500
Sm1 0.000 0.500 0.000
Sc3 0.500 0.500 0.000
Te7 0.739 0.718 0.479
Te8 0.728 0.726 0.977

---

4.
# ScCuW2, relaxed, DFT PBE
# Energy relative to the lowest polymorph listed for this composition, meV per atom: 440
# Space-group type: I-42d (122)
# Calculated total energy, eV per atom: -8.486
# E_form, eV per atom: 0.598
data_ScCuW2
_cell_length_a 3.746
_cell_length_b 3.746
_cell_length_c 10.346
_cell_angle_alpha 79.57
_cell_angle_beta 79.57
_cell_angle_gamma 90.00
_symmetry_space_group_name_H-M 'P 1'
_symmetry_Int_Tables_number 1
_symmetry_space_group_name_Hall 'P 1'
loop_
_atom_site_label
_atom_site_fract_x
_atom_site_fract_y
_atom_site_fract_z
W1 0.375 0.872 0.750
Sc1 0.500 0.500 0.000
W2 0.128 0.125 0.250
Cu1 0.750 0.250 0.500
W3 0.875 0.378 0.750
W4 0.622 0.625 0.250
Sc2 0.250 0.750 0.500
Cu2 0.000 0.000 0.000

---

5.
# PtSe2F, relaxed, DFT PBE
# Energy relative to the lowest polymorph listed for this composition, meV per atom: 0
# Space-group type: P-1 (2)
# Calculated total energy, eV per atom: -4.440
# Uncorrected formation energy, eV/f.u.: -2.9
data_PtSe2F
_cell_length_a 3.820
_cell_length_b 6.662
_cell_length_c 7.285
_cell_angle_alpha 94.13
_cell_angle_beta 67.71
_cell_angle_gamma 85.17
_symmetry_space_group_name_H-M 'P 1'
_symmetry_Int_Tables_number 1
_symmetry_space_group_name_Hall 'P 1'
loop_
_atom_site_label
_atom_site_fract_x
_atom_site_fract_y
_atom_site_fract_z
Pt1 0.537 0.671 0.302
Se1 0.232 0.833 0.094
F1 0.670 0.884 0.882
F2 0.405 0.456 0.722
Se2 0.842 0.508 0.510
Se3 0.647 0.326 0.119
Se4 0.428 0.016 0.485
Pt2 0.038 0.171 0.302

---

6.
# LiSm2NpAs4, relaxed, DFT PBE
# Space-group type: P2/m (10)
# Calculated total energy, eV per atom: -6.290
# E_form, eV per atom: -0.929
data_LiSm2NpAs4
_cell_length_a 4.168
_cell_length_b 7.051
_cell_length_c 7.159
_cell_angle_alpha 108.99
_cell_angle_beta 90.00
_cell_angle_gamma 90.00
_symmetry_space_group_name_H-M 'P 1'
_symmetry_Int_Tables_number 1
_symmetry_space_group_name_Hall 'P 1'
loop_
_atom_site_label
_atom_site_fract_x
_atom_site_fract_y
_atom_site_fract_z
Sm1 0.000 0.500 0.500
Li1 0.500 0.500 0.000
Sm2 0.500 0.000 0.500
As1 0.000 0.756 0.237
As2 0.000 0.244 0.763
As3 0.500 0.757 0.763
As4 0.500 0.243 0.237
Np1 0.000 0.000 0.000

---

7.
# VTe2RhI, relaxed, DFT PBE
# Energy relative to the lowest polymorph listed for this composition, meV per atom: 0
# Space-group type: P4/mmm (123)
# Calculated total energy, eV per atom: -4.072
# Uncorrected formation energy, eV/f.u.: 3.9
data_VTe2RhI
_cell_length_a 5.052
_cell_length_b 5.052
_cell_length_c 5.592
_cell_angle_alpha 90.00
_cell_angle_beta 90.00
_cell_angle_gamma 90.00
_symmetry_space_group_name_H-M 'P 1'
_symmetry_Int_Tables_number 1
_symmetry_space_group_name_Hall 'P 1'
loop_
_atom_site_label
_atom_site_fract_x
_atom_site_fract_y
_atom_site_fract_z
Te1 0.000 0.500 0.000
V1 0.000 0.000 0.000
I1 0.000 0.000 0.500
Rh1 0.500 0.500 0.500
Te2 0.500 0.000 0.000

---

8.
# CePmP2Rh5, relaxed, DFT PBE
# Space-group type: P4/mmm (123)
# Calculated total energy, eV per atom: -7.228
# E_form, eV per atom: -0.754
data_CePmP2Rh5
_cell_length_a 4.038
_cell_length_b 4.038
_cell_length_c 10.943
_cell_angle_alpha 90.00
_cell_angle_beta 90.00
_cell_angle_gamma 90.00
_symmetry_space_group_name_H-M 'P 1'
_symmetry_Int_Tables_number 1
_symmetry_space_group_name_Hall 'P 1'
loop_
_atom_site_label
_atom_site_fract_x
_atom_site_fract_y
_atom_site_fract_z
Rh1 0.000 0.500 0.200
Rh2 0.500 0.000 0.800
Rh3 0.000 0.500 0.800
Pm1 0.000 0.000 0.000
P1 0.500 0.500 0.709
P2 0.500 0.500 0.291
Rh4 0.500 0.000 0.200
Ce1 0.000 0.000 0.500
Rh5 0.500 0.500 0.500

---

9.
# Sn2Sb2Rh3, relaxed, DFT PBE
# Space-group type: P2_1/c (14)
# Calculated total energy, eV per atom: -5.897
# Uncorrected formation energy, eV/f.u.: -3.0
data_Sn2Sb2Rh3
_cell_length_a 6.926
_cell_length_b 6.831
_cell_length_c 6.915
_cell_angle_alpha 66.04
_cell_angle_beta 90.00
_cell_angle_gamma 90.00
_symmetry_space_group_name_H-M 'P 1'
_symmetry_Int_Tables_number 1
_symmetry_space_group_name_Hall 'P 1'
loop_
_atom_site_label
_atom_site_fract_x
_atom_site_fract_y
_atom_site_fract_z
Sb1 0.172 0.163 0.632
Sn1 0.657 0.892 0.875
Rh1 0.500 0.500 0.000
Sb2 0.672 0.337 0.368
Rh2 0.000 0.000 0.000
Rh3 0.998 0.789 0.716
Rh4 0.498 0.711 0.284
Sb3 0.828 0.837 0.368
Sb4 0.328 0.663 0.632
Sn2 0.157 0.608 0.125
Sn3 0.843 0.392 0.875
Rh5 0.502 0.289 0.716
Rh6 0.002 0.211 0.284
Sn4 0.343 0.108 0.125

---

10.
# Pr4Ag2Sn, relaxed, DFT PBE
# Energy relative to the lowest polymorph listed for this composition, meV per atom: 0
# Space-group type: Cc (9)
# Calculated total energy, eV per atom: -4.418
# E_form, eV per atom: -0.301
data_Pr4Ag2Sn
_cell_length_a 9.060
_cell_length_b 9.059
_cell_length_c 7.437
_cell_angle_alpha 108.55
_cell_angle_beta 108.58
_cell_angle_gamma 117.90
_symmetry_space_group_name_H-M 'P 1'
_symmetry_Int_Tables_number 1
_symmetry_space_group_name_Hall 'P 1'
loop_
_atom_site_label
_atom_site_fract_x
_atom_site_fract_y
_atom_site_fract_z
Pr1 0.032 0.277 0.414
Pr2 0.889 0.586 0.606
Ag1 0.789 0.901 0.447
Pr3 0.836 0.639 0.106
Sn1 0.229 0.702 0.434
Ag2 0.151 0.539 0.947
Pr4 0.331 0.990 0.210
Pr5 0.240 0.081 0.710
Pr6 0.527 0.782 0.913
Ag3 0.633 0.233 0.120
Pr7 0.743 0.166 0.769
Pr8 0.416 0.493 0.269
Sn2 0.952 0.979 0.935
Ag4 0.483 0.383 0.620

---

11.
# YAl2Mo2, relaxed, DFT PBE
# Energy relative to the lowest polymorph listed for this composition, meV per atom: 24
# Space-group type: P4/mbm (127)
# Calculated total energy, eV per atom: -7.186
# E_form, eV per atom: -0.064
data_YAl2Mo2
_cell_length_a 8.056
_cell_length_b 8.056
_cell_length_c 2.803
_cell_angle_alpha 90.00
_cell_angle_beta 90.00
_cell_angle_gamma 90.00
_symmetry_space_group_name_H-M 'P 1'
_symmetry_Int_Tables_number 1
_symmetry_space_group_name_Hall 'P 1'
loop_
_atom_site_label
_atom_site_fract_x
_atom_site_fract_y
_atom_site_fract_z
Mo1 0.613 0.113 0.000
Mo2 0.887 0.613 0.000
Mo3 0.113 0.387 0.000
Al1 0.180 0.680 0.500
Al2 0.820 0.320 0.500
Al3 0.320 0.180 0.500
Y1 0.000 0.000 0.000
Mo4 0.387 0.887 0.000
Y2 0.500 0.500 0.000
Al4 0.680 0.820 0.500

---

12.
# Na2Pu3Br8, relaxed, DFT PBE
# Space-group type: C2/m (12)
# Calculated total energy, eV per atom: -5.956
# Uncorrected formation energy, eV/f.u.: -18.4
data_Na2Pu3Br8
_cell_length_a 7.660
_cell_length_b 8.367
_cell_length_c 8.367
_cell_angle_alpha 60.15
_cell_angle_beta 82.88
_cell_angle_gamma 82.88
_symmetry_space_group_name_H-M 'P 1'
_symmetry_Int_Tables_number 1
_symmetry_space_group_name_Hall 'P 1'
loop_
_atom_site_label
_atom_site_fract_x
_atom_site_fract_y
_atom_site_fract_z
Br1 0.124 0.616 0.616
Br2 0.876 0.384 0.384
Pu1 0.500 0.000 0.000
Br3 0.646 0.362 0.887
Br4 0.354 0.113 0.638
Br5 0.354 0.638 0.113
Na1 0.421 0.717 0.717
Br6 0.851 0.880 0.880
Br7 0.149 0.120 0.120
Pu2 0.000 0.243 0.757
Na2 0.579 0.283 0.283
Pu3 0.000 0.757 0.243
Br8 0.646 0.887 0.362

---

13.
# Y4PuN5, relaxed, DFT PBE
# Space-group type: I4/m (87)
# Calculated total energy, eV per atom: -9.775
# Uncorrected formation energy, eV/f.u.: -15.9
data_Y4PuN5
_cell_length_a 4.911
_cell_length_b 6.017
_cell_length_c 6.017
_cell_angle_alpha 80.42
_cell_angle_beta 65.92
_cell_angle_gamma 65.92
_symmetry_space_group_name_H-M 'P 1'
_symmetry_Int_Tables_number 1
_symmetry_space_group_name_Hall 'P 1'
loop_
_atom_site_label
_atom_site_fract_x
_atom_site_fract_y
_atom_site_fract_z
Pu1 0.001 0.000 0.000
N1 0.905 0.389 0.803
Y1 0.401 0.401 0.799
Y2 0.601 0.599 0.201
N2 0.294 0.803 0.611
N3 0.501 0.000 0.000
Y3 0.802 0.799 0.599
Y4 0.200 0.201 0.401
N4 0.097 0.611 0.197
N5 0.708 0.197 0.389

---

14.
# Cs2CaCd, relaxed, DFT PBE
# Space-group type: I-42d (122)
# Calculated total energy, eV per atom: -0.982
# E_form, eV per atom: 0.174
data_Cs2CaCd
_cell_length_a 13.569
_cell_length_b 13.569
_cell_length_c 10.115
_cell_angle_alpha 47.88
_cell_angle_beta 47.88
_cell_angle_gamma 90.00
_symmetry_space_group_name_H-M 'P 1'
_symmetry_Int_Tables_number 1
_symmetry_space_group_name_Hall 'P 1'
loop_
_atom_site_label
_atom_site_fract_x
_atom_site_fract_y
_atom_site_fract_z
Cs1 0.758 0.125 0.250
Cs2 0.375 0.242 0.750
Ca1 0.500 0.500 0.000
Cd1 0.000 0.000 0.000
Cs3 0.992 0.625 0.250
Cs4 0.875 0.008 0.750
Ca2 0.250 0.750 0.500
Cd2 0.750 0.250 0.500